# 1
Computed, not measured: a relaxed UZnAs2 crystal at the PBE level of DFT.

```
data_UZnAs2
_cell_length_a 3.070
_cell_length_b 3.070
_cell_length_c 9.991
_cell_angle_alpha 81.16
_cell_angle_beta 81.16
_cell_angle_gamma 60.00
_symmetry_space_group_name_H-M 'P 1'
_symmetry_Int_Tables_number 1
_symmetry_space_group_name_Hall 'P 1'
loop_
_atom_site_label
_atom_site_type_symbol
_atom_site_fract_x
_atom_site_fract_y
_atom_site_fract_z
As1 As 0.100 0.100 0.701
As2 As 0.900 0.900 0.299
U1 U 0.000 0.000 0.000
Zn1 Zn 0.500 0.500 0.500
```

energy of formation from the pure elements	0.289	eV/atom
SG	R-3m, No. 166
energy above the most stable polymorph in this dataset	771	meV per atom
E	-5.1767	eV per atom

---

# 2
Computed, not measured: a relaxed UZnAs2 crystal at the PBE level of DFT.

```
data_UZnAs2
_cell_length_a 3.738
_cell_length_b 4.471
_cell_length_c 4.471
_cell_angle_alpha 90.00
_cell_angle_beta 90.00
_cell_angle_gamma 90.00
_symmetry_space_group_name_H-M 'P 1'
_symmetry_Int_Tables_number 1
_symmetry_space_group_name_Hall 'P 1'
loop_
_atom_site_label
_atom_site_type_symbol
_atom_site_fract_x
_atom_site_fract_y
_atom_site_fract_z
As1 As 0.000 0.000 0.500
As2 As 0.000 0.500 0.000
U1 U 0.500 0.000 0.000
Zn1 Zn 0.500 0.500 0.500
```

energy of formation from the pure elements	-0.482	eV/atom
SG	P4/mmm, No. 123
energy above the most stable polymorph in this dataset	0	meV per atom
E	-5.9473	eV per atom

---

# 3
Computed, not measured: a relaxed UZnAs crystal at the PBE level of DFT.

```
data_UZnAs
_cell_length_a 3.945
_cell_length_b 3.945
_cell_length_c 13.435
_cell_angle_alpha 54.27
_cell_angle_beta 54.27
_cell_angle_gamma 59.99
_symmetry_space_group_name_H-M 'P 1'
_symmetry_Int_Tables_number 1
_symmetry_space_group_name_Hall 'P 1'
loop_
_atom_site_label
_atom_site_type_symbol
_atom_site_fract_x
_atom_site_fract_y
_atom_site_fract_z
U1 U 0.129 0.129 0.089
U2 U 0.624 0.624 0.219
Zn1 Zn 0.687 0.687 0.423
Zn2 Zn 0.067 0.067 0.885
As1 As 0.240 0.240 0.508
As2 As 0.514 0.514 0.799
```

energy of formation from the pure elements	0.029	eV/atom
SG	C2/m, No. 12
E	-5.7078	eV per atom